# PBE KAg3Au, optimized geometry
# Size of the total moment, μB/cell: 0.00
# DFT total energy, hartree per atom: -0.0918
# Polymorph energy (0 for the lowest one), eV/atom: 0.111
# Energy relative to the elements, kJ/mol of atoms: 8.6
data_KAg3Au
_space_group_name_H-M_alt 'P 63/m m c'
_space_group_IT_number 194
_space_group_name_Hall '-P 6c 2c'
_cell_length_a 6.9224
_cell_length_b 6.9224
_cell_length_c 12.7621
_cell_angle_alpha 90.00
_cell_angle_beta 90.00
_cell_angle_gamma 120.00
loop_
_atom_site_label
_atom_site_type_symbol
_atom_site_fract_x
_atom_site_fract_y
_atom_site_fract_z
K1 K 0.0000 0.0000 0.0000
K2 K 0.3333 0.6667 0.2500
Ag1 Ag 0.0000 0.5000 0.0000
Ag2 Ag 0.1322 0.2645 0.7500
Au1 Au 0.3333 0.6667 0.6427